VASP calculation (PBE) on an optimized crystal structure of VCSeN2.

N(E_F) ... 1.159 states/eV/atom
Formation energy (no corrections) ... 2.003 eV/atom
Crystal system ... tetragonal

Cell: 3.5894 3.5894 4.0211 Å, 90.00 90.00 90.00°
With the nearest neighbours (Å) after each atom.
Positions (direct):
V (0.0000, 0.0000, 0.0000)  4 Se 2.54, 8 N 2.70
C (0.5000, 0.5000, 0.5000)  4 N 1.79
Se (0.5000, 0.5000, 0.0000)  2 C 2.01
N (0.0000, 0.5000, 0.5000)  2 C 1.79
N (0.5000, 0.0000, 0.5000)  2 C 1.79

VASP calculation (PBE) on an optimized crystal structure of WCSe2N.

N(E_F) ... 0.416 states/eV/atom
Formation energy (no corrections) ... 1.508 eV/atom
Crystal system ... tetragonal

Cell: 5.0062 5.0062 3.8088 Å, 90.00 90.00 90.00°
With the nearest neighbours (Å) after each atom.
Positions (direct):
W (0.0000, 0.0000, 0.0000)  2 N 1.90
C (0.5000, 0.5000, 0.5000)  8 Se 3.15
Se (0.0000, 0.5000, 0.0000)  2 W 2.50
Se (0.5000, 0.0000, 0.0000)  2 W 2.50
N (0.0000, 0.0000, 0.5000)  2 W 1.90

VASP calculation (PBE) on an optimized crystal structure of WCSe2N.

N(E_F) ... 0.627 states/eV/atom
Formation energy (no corrections) ... 1.262 eV/atom
Crystal system ... tetragonal

Cell: 5.5842 5.5842 2.5221 Å, 90.00 90.00 90.00°
With the nearest neighbours (Å) after each atom.
Positions (direct):
W (0.0000, 0.0000, 0.0000)  2 W 2.52
C (0.5000, 0.5000, 0.5000)  2 N 1.26
Se (0.0000, 0.5000, 0.5000)  2 Se 2.52, 2 C 2.79
Se (0.5000, 0.0000, 0.5000)  2 Se 2.52, 2 C 2.79
N (0.5000, 0.5000, 0.0000)  2 C 1.26

VASP calculation (PBE) on an optimized crystal structure of YCSeN2.

N(E_F) ... 0.662 states/eV/atom
Formation energy (no corrections) ... 2.099 eV/atom
Crystal system ... tetragonal

Cell: 4.4968 4.4968 5.7420 Å, 90.00 90.00 90.00°
With the nearest neighbours (Å) after each atom.
Positions (direct):
Y (0.0000, 0.0000, 0.0000)  4 N 2.25
C (0.5000, 0.5000, 0.5000)  4 Se 3.18
Se (0.0000, 0.0000, 0.5000)  2 Y 2.87, 4 C 3.18
N (0.0000, 0.5000, 0.0000)  2 Y 2.25
N (0.5000, 0.0000, 0.0000)  2 Y 2.25